# 1
Computed, not measured: a geometry-optimized Pm4SmEr3 structure at the GGA-PBE level of DFT.

Output
**Space-group type**: Pmn2_1

Cell lengths 6.305, 7.310, 11.521 Å; angles 90.00, 90.00, 90.00 degrees
Positions (direct):
Pm: 0.151 0.871 0.500
Pm: 0.981 0.126 0.747
Pm: 0.481 0.874 0.247
Pm: 0.643 0.128 0.500
Pm: 0.143 0.872 0.000
Pm: 0.651 0.129 0.000
Pm: 0.981 0.126 0.253
Pm: 0.481 0.874 0.753
Er: 0.648 0.621 0.000
Er: 0.148 0.379 0.500
Er: 0.481 0.378 0.250
Er: 0.481 0.378 0.750
Er: 0.981 0.622 0.250
Er: 0.981 0.622 0.750
Sm: 0.649 0.624 0.500
Sm: 0.149 0.376 0.000


# 2
Computed, not measured: a geometry-optimized Pm2SmEr5 structure at the GGA-PBE level of DFT.

Output
**Space-group type**: Pbam

Cell lengths 5.024, 7.115, 14.235 Å; angles 90.00, 90.00, 90.00 degrees
Positions (direct):
Er: 0.500 0.751 0.625
Er: 0.000 0.001 0.751
Er: 0.500 0.749 0.125
Er: 0.000 0.500 0.500
Er: 0.000 0.000 0.000
Er: 0.000 0.999 0.249
Er: 0.000 0.501 0.749
Er: 0.500 0.251 0.875
Er: 0.000 0.499 0.251
Er: 0.500 0.249 0.375
Pm: 0.500 0.248 0.126
Pm: 0.500 0.252 0.626
Pm: 0.500 0.752 0.874
Pm: 0.500 0.748 0.374
Sm: 0.000 0.500 0.000
Sm: 0.000 0.000 0.500


| no. | energy relative to the lowest polymorph listed for this composition (meV per atom) | spin magnetization (μB per formula unit) |
| --- | --- | --- |
| 1 | 0.0 | 0.00 |
| 2 | 0.0 | 0.00 |